1.
VASP calculation (PBE-GGA) on crystalline Ac3La2Hg3 at its relaxed geometry.

a b c (Å): 4.0148 5.7723 23.6636
angles (deg): 90.00 90.00 90.00
Sites, in units of the cell vectors:
Ac: 0.0000 0.0000 0.0000
Ac: 0.0000 0.5000 0.1209
Ac: 0.0000 0.5000 0.8791
Ac: 0.5000 0.0000 0.3791
Ac: 0.5000 0.0000 0.6209
Ac: 0.5000 0.5000 0.5000
La: 0.0000 0.0000 0.2342
La: 0.0000 0.0000 0.7658
La: 0.5000 0.5000 0.2658
La: 0.5000 0.5000 0.7342
Hg: 0.0000 0.0000 0.5000
Hg: 0.0000 0.5000 0.3766
Hg: 0.0000 0.5000 0.6234
Hg: 0.5000 0.0000 0.1234
Hg: 0.5000 0.0000 0.8766
Hg: 0.5000 0.5000 0.0000

Summary:
Space group: No. 71
Magnetic moment (μB per formula unit): 0.000
E (eV per atom): -3.24

=====

2.
VASP calculation (PBE-GGA) on crystalline AcLa6Hg at its relaxed geometry.

a b c (Å): 6.6582 6.6616 6.6625
angles (deg): 97.43 97.64 97.56
Sites, in units of the cell vectors:
Ac: 0.0000 0.0000 0.0000
La: 0.0511 0.2694 0.5560
La: 0.2686 0.5565 0.0513
La: 0.4439 0.9487 0.7311
La: 0.5561 0.0513 0.2689
La: 0.7314 0.4435 0.9487
La: 0.9489 0.7306 0.4440
Hg: 0.5000 0.5000 0.5000

Summary:
Space group: No. 2
Magnetic moment (μB per formula unit): 0.000
E above lowest polymorph (eV per atom): 0.029

=====

3.
VASP calculation (PBE-GGA) on crystalline AcLaHg2 at its relaxed geometry.

a b c (Å): 7.9510 11.2818 5.6125
angles (deg): 90.00 90.00 90.00
Sites, in units of the cell vectors:
Ac: 0.0000 0.1247 0.2500
Ac: 0.0000 0.8753 0.7500
Ac: 0.5000 0.3753 0.7500
Ac: 0.5000 0.6247 0.2500
La: 0.0000 0.3712 0.7500
La: 0.0000 0.6288 0.2500
La: 0.5000 0.1288 0.2500
La: 0.5000 0.8712 0.7500
Hg: 0.2384 0.3787 0.2500
Hg: 0.2384 0.6213 0.7500
Hg: 0.2616 0.1213 0.7500
Hg: 0.2616 0.8787 0.2500
Hg: 0.7384 0.1213 0.7500
Hg: 0.7384 0.8787 0.2500
Hg: 0.7616 0.3787 0.2500
Hg: 0.7616 0.6213 0.7500

Summary:
Space group: No. 63
Magnetic moment (μB per formula unit): 0.661
E (eV per atom): -2.89

=====

4.
VASP calculation (PBE-GGA) on crystalline Ac2La2Hg3 at its relaxed geometry.

a b c (Å): 5.6177 5.6181 9.4313
angles (deg): 90.16 107.07 120.00
Sites, in units of the cell vectors:
Ac: 0.2403 0.1192 0.3593
Ac: 0.7597 0.8808 0.6407
La: 0.2526 0.6278 0.8811
La: 0.7474 0.3722 0.1189
Hg: 0.0000 0.5000 0.5000
Hg: 0.4962 0.7466 0.2418
Hg: 0.5038 0.2534 0.7582

Summary:
Space group: No. 2
Magnetic moment (μB per formula unit): 0.807
E (eV per atom): -3.04

=====

Q: magnetic moment of number 3 (AcLaHg2)?
A: 0.661 μB per formula unit